Record 1
Below is crystalline InCuRu2 at its relaxed geometry, with properties calculated at the PBE level.

Calculated values
As for the formation energy: 0.383 eV/atom.

a = 5.4564 Å, b = 7.7314 Å, c = 2.9238 Å
α = 90.00°, β = 90.00°, γ = 90.00°
With the nearest neighbours (Å) after each atom.
Sites, in units of the cell vectors:
In1 0.0000 0.0000 0.0000  2 Cu 2.73, 8 Ru 2.78, 2 In 2.92
In2 0.5000 0.5000 0.0000  2 Cu 2.73, 8 Ru 2.78, 2 In 2.92
Cu1 0.0000 0.5000 0.0000  2 In 2.73, 8 Ru 2.78, 2 Cu 2.92
Cu2 0.5000 0.0000 0.0000  2 In 2.73, 8 Ru 2.78, 2 Cu 2.92
Ru1 0.2500 0.2500 0.5000  4 Ru 2.73-2.92, 4 In 2.78, 4 Cu 2.78
Ru2 0.2500 0.7500 0.5000  4 Ru 2.73-2.92, 4 In 2.78, 4 Cu 2.78
Ru3 0.7500 0.2500 0.5000  4 Ru 2.73-2.92, 4 In 2.78, 4 Cu 2.78
Ru4 0.7500 0.7500 0.5000  4 Ru 2.73-2.92, 4 In 2.78, 4 Cu 2.78

---

Record 2
Below is crystalline InCuRu at its relaxed geometry, with properties calculated at the PBE level.

Calculated values
As for the formation energy: 0.224 eV/atom.

a = 3.1903 Å, b = 3.1903 Å, c = 9.1927 Å
α = 90.00°, β = 90.00°, γ = 90.00°
With the nearest neighbours (Å) after each atom.
Sites, in units of the cell vectors:
In1 0.0000 0.0000 0.0000  5 Cu 2.77-2.99, 5 Ru 2.79-2.95
In2 0.5000 0.5000 0.5000  5 Cu 2.77-2.99, 5 Ru 2.79-2.95
Cu1 0.0000 0.0000 0.3257  4 Ru 2.63, 4 In 2.77
Cu2 0.5000 0.5000 0.8257  4 Ru 2.63, 4 In 2.77
Ru1 0.0000 0.0000 0.6794  4 Cu 2.63, 4 In 2.79
Ru2 0.5000 0.5000 0.1794  4 Cu 2.63, 4 In 2.79

---

Record 3
Below is crystalline InCuRu2 at its relaxed geometry, with properties calculated at the PBE level.

Calculated values
As for the formation energy: 0.293 eV/atom.

a = 3.0450 Å, b = 4.4903 Å, c = 8.8824 Å
α = 90.00°, β = 90.00°, γ = 90.00°
With the nearest neighbours (Å) after each atom.
Sites, in units of the cell vectors:
In1 0.0000 0.0000 0.0000  2 Cu 2.68, 6 Ru 2.71-2.80
In2 0.5000 0.5000 0.5000  2 Cu 2.68, 6 Ru 2.71-2.80
Cu1 0.0000 0.5000 0.2512  6 Ru 2.65-2.72, 2 In 2.68
Cu2 0.5000 0.0000 0.7512  6 Ru 2.65-2.72, 2 In 2.68
Ru1 0.0000 0.0000 0.5064  2 Ru 2.64, 2 Cu 2.65, 4 In 2.71
Ru2 0.0000 0.5000 0.7641  2 Ru 2.64, 4 Cu 2.72, 2 In 2.80
Ru3 0.5000 0.0000 0.2641  2 Ru 2.64, 4 Cu 2.72, 2 In 2.80
Ru4 0.5000 0.5000 0.0064  2 Ru 2.64, 2 Cu 2.65, 4 In 2.71

---

Record 4
Below is crystalline InCuRu2 at its relaxed geometry, with properties calculated at the PBE level.

Calculated values
As for the formation energy: 0.248 eV/atom.

a = 4.0236 Å, b = 4.0236 Å, c = 7.4685 Å
α = 90.00°, β = 90.00°, γ = 90.00°
With the nearest neighbours (Å) after each atom.
Sites, in units of the cell vectors:
In1 0.0000 0.0000 0.0000  8 Ru 2.74-2.85, 4 Cu 2.74
In2 0.5000 0.5000 0.5000  8 Ru 2.74-2.85, 4 Cu 2.74
Cu1 0.0000 0.5000 0.2500  4 In 2.74, 8 Ru 2.74-2.85
Cu2 0.5000 0.0000 0.7500  8 Ru 2.74-2.85, 4 In 2.74
Ru1 0.0000 0.0000 0.5000  4 Ru 2.74, 4 Cu 2.74, 4 In 2.85
Ru2 0.0000 0.5000 0.7500  4 Ru 2.74, 4 In 2.74, 4 Cu 2.85
Ru3 0.5000 0.0000 0.2500  4 In 2.74, 4 Ru 2.74, 4 Cu 2.85
Ru4 0.5000 0.5000 0.0000  4 Ru 2.74, 4 Cu 2.74, 4 In 2.85

---

What is the formula in the second record?
InCuRu

---

Repeat the second record exactly.
Below is crystalline InCuRu at its relaxed geometry, with properties calculated at the PBE level.

Calculated values
As for the formation energy: 0.224 eV/atom.

a = 3.1903 Å, b = 3.1903 Å, c = 9.1927 Å
α = 90.00°, β = 90.00°, γ = 90.00°
With the nearest neighbours (Å) after each atom.
Sites, in units of the cell vectors:
In1 0.0000 0.0000 0.0000  5 Cu 2.77-2.99, 5 Ru 2.79-2.95
In2 0.5000 0.5000 0.5000  5 Cu 2.77-2.99, 5 Ru 2.79-2.95
Cu1 0.0000 0.0000 0.3257  4 Ru 2.63, 4 In 2.77
Cu2 0.5000 0.5000 0.8257  4 Ru 2.63, 4 In 2.77
Ru1 0.0000 0.0000 0.6794  4 Cu 2.63, 4 In 2.79
Ru2 0.5000 0.5000 0.1794  4 Cu 2.63, 4 In 2.79

---

What is the formation energy in the third record?
0.293 eV/atom